! Mo3Rh4 PBE relaxed; values from VASP
! Distance to the lowest polymorph of the same formula: 197.6 meV/atom
! Space-group type: I4/mmm, No. 139
! Uncorrected energy: -8.818 eV per atom
! Formation energy from the elements: 0.024 eV per atom
&SYSTEM
  ibrav = 0, nat = 7, ntyp = 2
/
ATOMIC_SPECIES
Mo 95.94 Mo.upf
Rh 102.91 Rh.upf
ATOMIC_POSITIONS crystal
Mo 0.000 0.000 0.000
Mo 0.291 0.291 0.000
Mo 0.709 0.709 0.000
Rh 0.146 0.146 0.000
Rh 0.432 0.432 0.000
Rh 0.568 0.568 0.000
Rh 0.854 0.854 0.000
CELL_PARAMETERS angstrom
-1.629 1.629 9.972
1.629 -1.629 9.972
1.629 1.629 -9.972